Below is crystalline Tb7PrNd2 at its relaxed geometry, with properties calculated at the PBE-GGA level.

Calculated values
Calculated total energy   -46.6 eV for the cell shown
Energy relative to the lowest polymorph listed for this composition   0 meV per atom
Formation enthalpy at 0 K   0.016 eV per atom
Space group   P-1

abc: 6.237 9.524 6.226
angles: 108.97 99.60 102.61
Positions (direct):
Tb 0.001 0.201 0.602
Tb 0.999 0.799 0.398
Tb 0.999 0.401 0.199
Tb 0.001 0.599 0.801
Tb 0.500 0.900 0.202
Tb 0.500 0.100 0.798
Tb 0.500 0.500 0.000
Pr 0.000 0.000 0.000
Nd 0.499 0.699 0.600
Nd 0.501 0.301 0.400

=====

Below is crystalline SrLaY2Fe at its relaxed geometry, with properties calculated at the PBE-GGA level.

Calculated values
Calculated total energy   -27.6 eV for the cell shown
Formation enthalpy at 0 K   0.076 eV per atom
Space group   P4/mmm

abc: 5.518 5.518 5.344
angles: 90.00 90.00 90.00
Positions (direct):
Y 0.500 0.000 0.000
Y 0.000 0.500 0.000
La 0.000 0.000 0.500
Sr 0.500 0.500 0.500
Fe 0.000 0.000 0.000

=====

Below is crystalline KSF4 at its relaxed geometry, with properties calculated at the PBE-GGA level.

Calculated values
Calculated total energy   -93.7 eV for the cell shown
Raw formation energy   -41.15 kcal/mol of atoms
Energy relative to the lowest polymorph listed for this composition   25 meV per atom
Space group   P2_1/c

abc: 6.421 7.938 9.046
angles: 90.00 90.00 88.41
Positions (direct):
F 0.689 0.137 0.028
F 0.516 0.784 0.316
F 0.189 0.637 0.472
F 0.811 0.363 0.528
F 0.253 0.555 0.932
F 0.032 0.154 0.711
F 0.016 0.284 0.184
F 0.747 0.445 0.068
F 0.532 0.654 0.789
F 0.484 0.216 0.684
F 0.468 0.346 0.211
F 0.984 0.716 0.816
F 0.311 0.863 0.972
F 0.753 0.055 0.568
F 0.968 0.846 0.289
F 0.247 0.945 0.432
S 0.258 0.687 0.795
S 0.242 0.813 0.295
S 0.742 0.313 0.205
S 0.758 0.187 0.705
K 0.217 0.313 0.461
K 0.783 0.687 0.539
K 0.717 0.813 0.039
K 0.283 0.187 0.961

=====

Below is crystalline PmLu2 at its relaxed geometry, with properties calculated at the PBE-GGA level.

Calculated values
Calculated total energy   -13.7 eV for the cell shown
Energy relative to the lowest polymorph listed for this composition   0 meV per atom
Formation enthalpy at 0 K   0.031 eV per atom
Space group   I4/mmm

abc: 3.518 3.518 7.914
angles: 102.84 102.84 90.00
Positions (direct):
Lu 0.331 0.331 0.662
Lu 0.669 0.669 0.338
Pm 0.000 0.000 0.000

=====

Below is crystalline CuHg2Br at its relaxed geometry, with properties calculated at the PBE-GGA level.

Calculated values
Calculated total energy   -6.0 eV for the cell shown
Raw formation energy   2.26 kcal/mol of atoms
Energy relative to the lowest polymorph listed for this composition   191 meV per atom
Space group   Cmmm

abc: 3.760 3.760 8.484
angles: 90.00 90.00 121.85
Positions (direct):
Hg 0.000 0.000 0.525
Hg 0.000 0.000 0.975
Br 0.500 0.500 0.250
Cu 0.500 0.500 0.750

=====

Below is crystalline ZnCr3In at its relaxed geometry, with properties calculated at the PBE-GGA level.

Calculated values
Calculated total energy   -25.2 eV for the cell shown
Energy relative to the lowest polymorph listed for this composition   399 meV per atom
Formation enthalpy at 0 K   1.527 eV per atom
Space group   Pm-3m

abc: 5.141 5.141 5.141
angles: 90.00 90.00 90.00
Positions (direct):
Cr 0.000 0.500 0.000
Cr 0.500 0.000 0.000
Cr 0.000 0.000 0.500
In 0.000 0.000 0.000
Zn 0.500 0.500 0.500

=====

Below is crystalline ZrTaTc at its relaxed geometry, with properties calculated at the PBE-GGA level.

Calculated values
Calculated total energy   -30.6 eV for the cell shown
Energy relative to the lowest polymorph listed for this composition   365 meV per atom
Formation enthalpy at 0 K   0.058 eV per atom
Space group   P3m1

abc: 3.127 3.127 6.612
angles: 90.00 90.00 120.00
Positions (direct):
Ta 0.000 0.000 0.026
Zr 0.667 0.333 0.654
Tc 0.333 0.667 0.320